{
  "formula": "YZr2C",
  "functional": "PBE",
  "state": "optimized geometry",
  "magmom_total_mub_per_cell": 0.0,
  "delta_e_f_mev_per_atom": -275,
  "spacegroup": "R-3m, No. 166",
  "cell": [[3.354, 0.000, 0.000], [-1.677, 2.905, 0.000], [0.000, 0.000, 26.675]],
  "species": ["Y", "Y", "Y", "Zr", "Zr", "Zr", "Zr", "Zr", "Zr", "C", "C", "C"],
  "fractional_positions": [[0.000, 0.000, 0.000], [0.333, 0.667, 0.667], [0.667, 0.333, 0.333], [0.000, 0.000, 0.120], [0.000, 0.000, 0.880], [0.333, 0.667, 0.546], [0.333, 0.667, 0.787], [0.667, 0.333, 0.213], [0.667, 0.333, 0.454], [0.000, 0.000, 0.500], [0.333, 0.667, 0.167], [0.667, 0.333, 0.833]]
}



{
  "formula": "Yb2C3",
  "functional": "PBE",
  "state": "optimized geometry",
  "magmom_total_mub_per_cell": 0.0,
  "delta_e_f_mev_per_atom": -132,
  "spacegroup": "I-43d, No. 220",
  "cell": [[-4.147, 4.147, 4.147], [4.147, -4.147, 4.147], [4.147, 4.147, -4.147]],
  "species": ["Yb", "Yb", "Yb", "Yb", "Yb", "Yb", "Yb", "Yb", "C", "C", "C", "C", "C", "C", "C", "C", "C", "C", "C", "C"],
  "fractional_positions": [[0.000, 0.390, 0.500], [0.000, 0.890, 0.500], [0.110, 0.110, 0.110], [0.390, 0.500, 0.000], [0.500, 0.000, 0.390], [0.500, 0.000, 0.890], [0.610, 0.610, 0.610], [0.890, 0.500, 0.000], [0.046, 0.750, 0.796], [0.204, 0.750, 0.954], [0.250, 0.546, 0.296], [0.250, 0.704, 0.454], [0.296, 0.250, 0.546], [0.454, 0.250, 0.704], [0.546, 0.296, 0.250], [0.704, 0.454, 0.250], [0.750, 0.796, 0.046], [0.750, 0.954, 0.204], [0.796, 0.046, 0.750], [0.954, 0.204, 0.750]]
}